MgAlGeBi2 | PBE-GGA | optimized geometry

The value obtained for the total magnetic moment is 0.00 μB/f.u. The density of states at the Fermi level comes out at 2.8 states/eV/cell. The total energy comes out at -0.22558 Ry per atom. As for the formation energy: 0.474 eV/atom.

Cell: 5.6560 5.6560 4.8055 Å, 90.00 90.00 90.00°
Sites, in units of the cell vectors:
Mg 0.0000 0.0000 0.0000
Al 0.5000 0.5000 0.0000
Ge 0.5000 0.5000 0.5000
Bi 0.0000 0.5000 0.5000
Bi 0.5000 0.0000 0.5000